[1]
Material: TbPmMg
Method: DFT, PBE-GGA
State: relaxed

Unit cell a=3.7122 b=3.7122 c=7.0486 alpha=105.27 beta=105.27 gamma=90.00
Sites, in units of the cell vectors:
1 Mg 0.6643 0.6643 0.3287
2 Tb 0.0096 0.0096 0.0191
3 Pm 0.3261 0.3261 0.6522

Summary:
N(E_F) = 1.488 states/eV/atom
space-group type = I4mm (107)
energy relative to the lowest polymorph listed for this composition = 3 meV/atom
total magnetization = 0.0 μB per formula unit
E_tot = -11.116 eV/cell
energy of formation from the pure elements = -0.047 eV per atom

---

[2]
Material: CoSbTe2C
Method: DFT, PBE-GGA
State: relaxed

Unit cell a=4.7361 b=4.7361 c=4.6220 alpha=90.00 beta=90.00 gamma=90.00
Site moments in Bohr magnetons follow the coordinates.
Sites, in units of the cell vectors:
1 Co 0.5000 0.5000 0.5000  1.79
2 Sb 0.0000 0.0000 0.5000  -0.06
3 Te 0.0000 0.5000 0.0000  0.02
4 Te 0.5000 0.0000 0.0000  0.02
5 C 0.0000 0.0000 0.0000  -0.03

Summary:
energy relative to the elements, uncorrected = 6.52 eV per formula unit
N(E_F) = 1.038 states/eV/atom
space-group type = P4/mmm (123)
energy relative to the lowest polymorph listed for this composition = 0 meV/atom
total magnetization = 1.6 μB per formula unit
E_tot = -20.214 eV/cell

---

[3]
Material: Tm5InCo
Method: DFT, PBE-GGA
State: relaxed

Unit cell a=6.3970 b=6.3970 c=11.0475 alpha=72.28 beta=72.28 gamma=63.13
Sites, in units of the cell vectors:
1 Co 0.0000 0.0000 0.5000
2 Co 0.0000 0.0000 0.0000
3 Tm 0.1991 0.5561 0.5445
4 Tm 0.4439 0.8009 0.9555
5 Tm 0.8009 0.4439 0.4555
6 Tm 0.0285 0.3988 0.8640
7 Tm 0.0214 0.9786 0.7500
8 Tm 0.6012 0.9715 0.6360
9 Tm 0.3988 0.0285 0.3640
10 Tm 0.9786 0.0214 0.2500
11 Tm 0.5561 0.1991 0.0445
12 Tm 0.9715 0.6012 0.1360
13 In 0.5286 0.4714 0.7500
14 In 0.4714 0.5286 0.2500

Summary:
N(E_F) = 1.065 states/eV/atom
space-group type = C2/c (15)
total magnetization = 0.0 μB per formula unit
E_tot = -65.759 eV/cell
energy of formation from the pure elements = -0.097 eV per atom

---

[4]
Material: NaCu2S2
Method: DFT, PBE-GGA
State: relaxed

Unit cell a=3.7743 b=3.7743 c=6.7477 alpha=73.76 beta=73.76 gamma=90.00
Sites, in units of the cell vectors:
1 Cu 0.2500 0.7500 0.5000
2 Cu 0.7500 0.2500 0.5000
3 Na 0.0000 0.0000 0.0000
4 S 0.3628 0.3628 0.2745
5 S 0.6372 0.6372 0.7255

Summary:
energy relative to the elements, uncorrected = -2.39 eV per formula unit
N(E_F) = 0.713 states/eV/atom
space-group type = I4/mmm (139)
total magnetization = 0.0 μB per formula unit
E_tot = -20.156 eV/cell

---

[5]
Material: AlP2WCl
Method: DFT, PBE-GGA
State: relaxed

Unit cell a=4.6935 b=4.6935 c=5.0330 alpha=90.00 beta=90.00 gamma=90.00
Sites, in units of the cell vectors:
1 P 0.0000 0.5000 0.0000
2 P 0.5000 0.0000 0.0000
3 Al 0.5000 0.5000 0.5000
4 Cl 0.0000 0.0000 0.5000
5 W 0.0000 0.0000 0.0000

Summary:
energy relative to the elements, uncorrected = 1.88 eV per formula unit
N(E_F) = 0.576 states/eV/atom
space-group type = P4/mmm (123)
energy relative to the lowest polymorph listed for this composition = 0 meV/atom
total magnetization = 0.0 μB per formula unit
E_tot = -27.487 eV/cell

---

[6]
Material: Te2IrNF
Method: DFT, PBE-GGA
State: relaxed

Unit cell a=5.4839 b=5.4839 c=3.6150 alpha=90.00 beta=90.00 gamma=90.00
Sites, in units of the cell vectors:
1 Ir 0.0000 0.0000 0.0000
2 F 0.5000 0.5000 0.5000
3 Te 0.0000 0.5000 0.0000
4 Te 0.5000 0.0000 0.0000
5 N 0.0000 0.0000 0.5000

Summary:
energy relative to the elements, uncorrected = 0.91 eV per formula unit
N(E_F) = 0.684 states/eV/atom
space-group type = P4/mmm (123)
energy relative to the lowest polymorph listed for this composition = 0 meV/atom
total magnetization = 0.0 μB per formula unit
E_tot = -24.429 eV/cell

---

[7]
Material: HfB2Sb
Method: DFT, PBE-GGA
State: relaxed

Unit cell a=6.1284 b=6.1284 c=5.4638 alpha=55.89 beta=55.89 gamma=90.00
Sites, in units of the cell vectors:
1 B 0.8750 0.8536 0.7500
2 B 0.1464 0.6250 0.2500
3 B 0.6036 0.1250 0.2500
4 B 0.3750 0.3964 0.7500
5 Sb 0.5000 0.5000 0.0000
6 Sb 0.2500 0.7500 0.5000
7 Hf 0.7500 0.2500 0.5000
8 Hf 0.0000 0.0000 0.0000

Summary:
energy relative to the elements, uncorrected = 2.12 eV per formula unit
N(E_F) = 0.181 states/eV/atom
space-group type = I-42d (122)
total magnetization = 0.0 μB per formula unit
E_tot = -50.616 eV/cell

---

[8]
Material: Nd2GaSi
Method: DFT, PBE-GGA
State: relaxed

Unit cell a=4.0546 b=6.0343 c=8.9029 alpha=111.63 beta=90.00 gamma=90.00
Sites, in units of the cell vectors:
1 Si 0.2500 0.3583 0.2135
2 Si 0.7500 0.6417 0.7865
3 Ga 0.7500 0.6415 0.2844
4 Ga 0.2500 0.3585 0.7156
5 Nd 0.7500 0.2209 0.4284
6 Nd 0.2500 0.7854 0.0694
7 Nd 0.2500 0.7791 0.5716
8 Nd 0.7500 0.2146 0.9306

Summary:
energy relative to the elements, uncorrected = -2.80 eV per formula unit
N(E_F) = 0.849 states/eV/atom
space-group type = P2_1/m (11)
total magnetization = 0.0 μB per formula unit
E_tot = -41.579 eV/cell

---

[9]
Material: Tb6Ni2Sb
Method: DFT, PBE-GGA
State: relaxed

Unit cell a=8.4810 b=8.4810 c=8.4810 alpha=105.79 beta=113.86 gamma=108.87
Sites, in units of the cell vectors:
1 Ni 0.3530 0.3530 0.0000
2 Ni 0.5000 0.8761 0.3761
3 Ni 0.5000 0.1239 0.6239
4 Ni 0.6470 0.6470 0.0000
5 Tb 0.1130 0.8192 0.2938
6 Tb 0.6886 0.3266 0.0152
7 Tb 0.3114 0.3266 0.6380
8 Tb 0.7960 0.0255 0.2295
9 Tb 0.8870 0.1808 0.7062
10 Tb 0.7960 0.5664 0.7705
11 Tb 0.5254 0.8192 0.7062
12 Tb 0.4746 0.1808 0.2938
13 Tb 0.2040 0.4336 0.2295
14 Tb 0.6886 0.6734 0.3620
15 Tb 0.2040 0.9745 0.7705
16 Tb 0.3114 0.6734 0.9848
17 Sb 0.0000 0.0000 0.0000
18 Sb 0.0000 0.5000 0.5000

Summary:
energy relative to the elements, uncorrected = -3.87 eV per formula unit
N(E_F) = 0.894 states/eV/atom
space-group type = Immm (71)
total magnetization = 0.0 μB per formula unit
E_tot = -94.679 eV/cell

---

[10]
Material: NpSn2Te
Method: DFT, PBE-GGA
State: relaxed

Unit cell a=5.2743 b=4.4515 c=4.4515 alpha=90.00 beta=90.00 gamma=90.00
Site moments in Bohr magnetons follow the coordinates.
Sites, in units of the cell vectors:
1 Np 0.5000 0.0000 0.0000  3.90
2 Sn 0.0000 0.5000 0.0000  -0.03
3 Sn 0.0000 0.0000 0.5000  -0.03
4 Te 0.5000 0.5000 0.5000  -0.06

Summary:
energy relative to the elements, uncorrected = -0.64 eV per formula unit
N(E_F) = 2.809 states/eV/atom
space-group type = P4/mmm (123)
total magnetization = 4.0 μB per formula unit
E_tot = -24.727 eV/cell

---

[11]
Material: TlCoBr2
Method: DFT, PBE-GGA
State: relaxed

Unit cell a=7.8793 b=7.8793 c=6.6074 alpha=53.40 beta=53.40 gamma=90.00
Site moments in Bohr magnetons follow the coordinates.
Sites, in units of the cell vectors:
1 Tl 0.0000 0.0000 0.0000  -0.02
2 Tl 0.7500 0.2500 0.5000  -0.02
3 Br 0.8750 0.7686 0.7500  0.07
4 Br 0.5186 0.1250 0.2500  0.07
5 Br 0.3750 0.4814 0.7500  0.07
6 Br 0.2314 0.6250 0.2500  0.07
7 Co 0.5000 0.5000 0.0000  1.87
8 Co 0.2500 0.7500 0.5000  1.88

Summary:
energy relative to the elements, uncorrected = -1.00 eV per formula unit
N(E_F) = 0.170 states/eV/atom
space-group type = I-42d (122)
energy relative to the lowest polymorph listed for this composition = 0 meV/atom
total magnetization = 2.0 μB per formula unit
E_tot = -27.630 eV/cell

---

[12]
Material: SrCeAlCd
Method: DFT, PBE-GGA
State: relaxed

Unit cell a=5.4906 b=5.4906 c=5.4906 alpha=60.00 beta=60.00 gamma=60.00
Site moments in Bohr magnetons follow the coordinates.
Sites, in units of the cell vectors:
1 Cd 0.0000 0.0000 0.0000  0.01
2 Ce 0.7500 0.7500 0.7500  0.87
3 Sr 0.2500 0.2500 0.2500  0.01
4 Al 0.5000 0.5000 0.5000  -0.01

Summary:
N(E_F) = 2.401 states/eV/atom
space-group type = F-43m (216)
total magnetization = 1.0 μB per formula unit
E_tot = -12.836 eV/cell
energy of formation from the pure elements = -0.141 eV per atom

---

[13]
Material: NaCl7
Method: DFT, PBE-GGA
State: relaxed

Unit cell a=6.1182 b=6.1182 c=6.1182 alpha=90.00 beta=90.00 gamma=90.00
Sites, in units of the cell vectors:
1 Cl 0.5000 0.0000 0.1679
2 Cl 0.1679 0.5000 0.0000
3 Cl 0.5000 0.5000 0.5000
4 Cl 0.5000 0.0000 0.8321
5 Cl 0.0000 0.8321 0.5000
6 Cl 0.8321 0.5000 0.0000
7 Cl 0.0000 0.1679 0.5000
8 Na 0.0000 0.0000 0.0000

Summary:
energy relative to the elements, uncorrected = -1.34 eV per formula unit
space-group type = Pm-3 (200)
total magnetization = 0.0 μB per formula unit
E_tot = -15.583 eV/cell